No. 1
## YAgP2 (PBE)

Data for a relaxed YAgP2 crystal.

a b c (Å): 6.618 6.618 4.184
angles (deg): 90.00 90.00 90.00
Fractional coordinates of all 8 atoms:
Ag1 0.500 0.500 0.000
Ag2 0.000 0.000 0.000
Y1 0.500 0.000 0.699
Y2 0.000 0.500 0.301
P1 0.205 0.295 0.807
P2 0.295 0.795 0.193
P3 0.795 0.705 0.807
P4 0.705 0.205 0.193

Results
As for the crystal system: tetragonal. The energy is -5.453 eV/atom.

No. 2
## RbZrTe2 (PBE)

Data for a relaxed RbZrTe2 crystal.

a b c (Å): 4.172 4.172 9.166
angles (deg): 76.84 76.84 60.00
Fractional coordinates of all 4 atoms:
Te1 0.268 0.268 0.195
Te2 0.066 0.066 0.803
Zr1 0.667 0.667 0.998
Rb1 0.499 0.499 0.504

Results
The calculation puts the formation energy from raw total energies at -0.94 eV per atom. As for the crystal system: trigonal. The energy is -4.891 eV/atom.